(1)
DFT (meta-GGA SCAN) results for a PBEsol-optimized structure of AgBiTe2I.

Values from the calculation:
The formation energy from raw total energies comes out at 415 meV per atom. The symmetry is P4/mmm (123).

Unit cell a=5.3391 b=5.3810 c=5.3810 alpha=90.00 beta=90.00 gamma=90.00
Fractional positions:
I  0.5000  0.0000  0.0000
Te  0.0000  0.0000  0.5000
Te  0.0000  0.5000  0.0000
Bi  0.5000  0.5000  0.5000
Ag  0.0000  0.0000  0.0000

=====

(2)
DFT (meta-GGA SCAN) results for a PBEsol-optimized structure of K2AgBi.

Values from the calculation:
The formation energy from the elements is -1.6 eV/f.u. The symmetry is Cmcm (63).

Unit cell a=6.2674 b=6.7258 c=6.7258 alpha=76.28 beta=90.00 gamma=90.00
Fractional positions:
K  0.7500  0.0205  0.3270
K  0.2500  0.9795  0.6730
K  0.7500  0.6730  0.9795
K  0.2500  0.3270  0.0205
Bi  0.7500  0.2266  0.7734
Bi  0.2500  0.7734  0.2266
Ag  0.0000  0.5000  0.5000
Ag  0.5000  0.5000  0.5000

=====

(3)
DFT (meta-GGA SCAN) results for a PBEsol-optimized structure of KAg2Bi2.

Values from the calculation:
The formation energy from the elements is -0.8 eV/f.u. The symmetry is I4/mmm (139).

Unit cell a=4.8286 b=4.8286 c=7.0033 alpha=110.17 beta=110.17 gamma=90.00
Fractional positions:
K  0.0000  0.0000  0.0000
Bi  0.3759  0.3759  0.7518
Bi  0.6241  0.6241  0.2482
Ag  0.2500  0.7500  0.5000
Ag  0.7500  0.2500  0.5000

=====

(4)
DFT (meta-GGA SCAN) results for a PBEsol-optimized structure of KAgBi2.

Values from the calculation:
The formation energy from the elements is 0.2 eV/f.u. The symmetry is Fm-3m (225).

Unit cell a=5.3438 b=5.3438 c=5.3438 alpha=60.00 beta=60.00 gamma=60.00
Fractional positions:
K  0.0000  0.0000  0.0000
Bi  0.2500  0.2500  0.2500
Bi  0.7500  0.7500  0.7500
Ag  0.5000  0.5000  0.5000

=====

(5)
DFT (meta-GGA SCAN) results for a PBEsol-optimized structure of K2SiAgBi.

Values from the calculation:
The formation energy from raw total energies comes out at 379 meV per atom. The symmetry is P4/mmm (123).

Unit cell a=4.5615 b=6.2714 c=6.2714 alpha=90.00 beta=90.00 gamma=90.00
Fractional positions:
K  0.0000  0.0000  0.5000
K  0.0000  0.5000  0.0000
Si  0.0000  0.0000  0.0000
Bi  0.5000  0.5000  0.5000
Ag  0.5000  0.0000  0.0000

=====

(6)
DFT (meta-GGA SCAN) results for a PBEsol-optimized structure of Li3AgBi.

Values from the calculation:
The formation energy from the elements is -0.3 eV/f.u. The symmetry is Pm-3m (221).

Unit cell a=4.7380 b=4.7380 c=4.7380 alpha=90.00 beta=90.00 gamma=90.00
Fractional positions:
Bi  0.5000  0.5000  0.5000
Ag  0.0000  0.0000  0.0000
Li  0.0000  0.5000  0.0000
Li  0.0000  0.0000  0.5000
Li  0.5000  0.0000  0.0000

=====

For reference, calculated volume by record: 30.92; 34.43; 28.51; 26.98; 35.88; 21.27 A^3/atom.